1.
# ZrMn2Co2 (PBE, optimized geometry)
# **Final energy**: -82.2 eV per cell
# **Offset from the most stable computed form**: 0.000 eV per atom
# **Total magnetization**: 1.213 μB per formula unit
# **Energy of formation**: -0.0037 eV per atom
# **Calculated density**: 7.90 Mg/m³
data_ZrMn2Co2
_chemical_formula_sum 'Zr2 Mn4 Co4'
_space_group_name_H-M_alt 'I 4/m m m'
_space_group_IT_number 139
_space_group_name_Hall '-I 4 2'
_cell_length_a 3.7650
_cell_length_b 3.7650
_cell_length_c 9.4640
_cell_angle_alpha 90.00
_cell_angle_beta 90.00
_cell_angle_gamma 90.00
loop_
_atom_site_label
_atom_site_type_symbol
_atom_site_fract_x
_atom_site_fract_y
_atom_site_fract_z
Zr1 Zr 0.0000 0.0000 0.0000
Mn1 Mn 0.0000 0.0000 0.3938
Co1 Co 0.0000 0.5000 0.2500

2.
# HoH3Pt (PBE, optimized geometry)
# **Final energy**: -94.0 eV per cell
# **Total magnetization**: 0.000 μB per formula unit
# **Calculated density**: 10.84 Mg/m³
data_HoH3Pt
_chemical_formula_sum 'Ho4 H12 Pt4'
_space_group_name_H-M_alt 'P n m a'
_space_group_IT_number 62
_space_group_name_Hall '-P 2ac 2n'
_cell_length_a 5.7125
_cell_length_b 4.8177
_cell_length_c 8.0827
_cell_angle_alpha 90.00
_cell_angle_beta 90.00
_cell_angle_gamma 90.00
loop_
_atom_site_label
_atom_site_type_symbol
_atom_site_fract_x
_atom_site_fract_y
_atom_site_fract_z
Ho1 Ho 0.2486 0.2500 0.0848
H1 H 0.0958 0.0420 0.3585
H2 H 0.1118 0.7500 0.0392
Pt1 Pt 0.0513 0.7500 0.2433

3.
# KCrPb2 (PBE, optimized geometry)
# **Final energy**: -32.6 eV per cell
# **Offset from the most stable computed form**: 0.277 eV per atom
# **Total magnetization**: 4.515 μB per formula unit
# **Energy of formation**: 0.4541 eV per atom
# **Calculated density**: 7.15 Mg/m³
data_KCrPb2
_chemical_formula_sum 'K2 Cr2 Pb4'
_space_group_name_H-M_alt 'I -4 m 2'
_space_group_IT_number 119
_space_group_name_Hall 'I -4 -2'
_cell_length_a 4.9386
_cell_length_b 4.9386
_cell_length_c 9.6235
_cell_angle_alpha 90.00
_cell_angle_beta 90.00
_cell_angle_gamma 90.00
loop_
_atom_site_label
_atom_site_type_symbol
_atom_site_fract_x
_atom_site_fract_y
_atom_site_fract_z
K1 K 0.0000 0.0000 0.0000
Cr1 Cr 0.0000 0.5000 0.2500
Pb1 Pb 0.0000 0.0000 0.5000
Pb2 Pb 0.0000 0.5000 0.7500

The highest total magnetization belongs to which entry? KCrPb2